Hg3BiS GGA-PBE optimized geometry; crystal system = cubic; formation energy from raw total energies = 0.382 eV per atom; excess energy over the best structure of this formula in the dataset = 0 meV/atom; M_tot = 0.0 Bohr magnetons per cell
1.0
5.245 0.000 0.000
0.000 5.245 0.000
0.000 0.000 5.245
Hg Bi S
3 1 1
Direct
0.000 0.500 0.000
0.500 0.000 0.000
0.000 0.000 0.500
0.500 0.500 0.500
0.000 0.000 0.000